1.
MnCr2Mo PBE-GGA relaxed; ΔH_f (0 K) = 103 meV per atom; excess energy over the best structure of this formula in the dataset = 0.015 eV per atom; energy = -9.7084 eV per atom; SG = Cmm2
1.0
2.577 0.003 0.000
-0.857 2.430 0.000
0.000 0.000 8.125
Cr Mn Mo
2 1 1
Direct
0.000 0.000 0.015 Cr
0.500 0.500 0.251 Cr
0.000 0.000 0.485 Mn
0.500 0.500 0.749 Mo

=====

2.
ZrTi2Pd5 PBE-GGA relaxed; ΔH_f (0 K) = -558 meV per atom; energy = -6.8461 eV per atom; SG = Pbam
1.0
4.003 0.000 0.000
0.000 5.689 0.000
0.000 0.000 11.444
Zr Ti Pd
2 4 10
Direct
0.000 0.000 0.500 Zr
0.000 0.500 0.000 Zr
0.500 0.292 0.359 Ti
0.500 0.708 0.641 Ti
0.500 0.208 0.859 Ti
0.500 0.792 0.141 Ti
0.500 0.263 0.121 Pd
0.500 0.737 0.879 Pd
0.500 0.763 0.379 Pd
0.500 0.237 0.621 Pd
0.000 0.985 0.749 Pd
0.000 0.015 0.251 Pd
0.000 0.485 0.751 Pd
0.000 0.515 0.249 Pd
0.000 0.500 0.500 Pd
0.000 0.000 0.000 Pd

=====

Quick rundown of total magnetization, same order as above: 1.324, 2.104 Bohr magnetons per cell